(1)
First-principles (PBE) data for crystalline CrSn2Hg2 at its relaxed geometry, as listed in the Alexandria database.

```
CrSn2Hg2
1.0
-3.581 -4.753 4.342
6.352 -3.417 1.498
0.657 2.804 3.612
Hg Sn Cr
4 4 2
Direct
0.168 0.668 0.500
0.332 0.168 0.500
0.832 0.332 0.500
0.668 0.832 0.500
0.147 0.353 0.000
0.853 0.647 0.000
0.353 0.853 0.000
0.647 0.147 0.000
0.000 0.000 0.000
0.500 0.500 0.000
```

D(E_F)	0.4346	states/eV per atom
calculated volume	25.06	Å³ per atom
mass density	9.15	g cm⁻³
space-group type	P4/mbm, No. 127
energy above the lowest structure with this stoichiometry	0.00	eV/f.u.

---

(2)
First-principles (PBE) data for crystalline Tb3Pm4Ni4 at its relaxed geometry, as listed in the Alexandria database.

```
Tb3Pm4Ni4
1.0
-3.297 -1.211 3.013
0.015 -7.017 -2.803
6.946 2.125 4.903
Ni Pm Tb
4 4 3
Direct
0.500 0.843 0.000
0.500 0.157 0.000
0.205 0.705 0.410
0.795 0.295 0.590
0.333 0.548 0.665
0.333 0.117 0.665
0.667 0.452 0.335
0.667 0.883 0.335
0.000 0.500 0.000
0.102 0.102 0.205
0.898 0.898 0.795
```

D(E_F)	1.1456	states/eV per atom
calculated volume	24.04	Å³ per atom
mass density	8.11	g cm⁻³
VASP energy	-5.25	eV/atom
space-group type	Immm, No. 71

---

(3)
First-principles (PBE) data for crystalline BeB2H2 at its relaxed geometry, as listed in the Alexandria database.

```
BeB2H2
1.0
2.868 0.000 0.000
0.000 2.868 0.000
1.434 1.434 3.254
B H Be
2 2 1
Direct
0.250 0.750 0.500
0.750 0.250 0.500
0.630 0.630 0.740
0.370 0.370 0.260
0.000 0.000 0.000
```

D(E_F)	0.1568	states/eV per atom
calculated volume	5.35	Å³ per atom
mass density	2.03	g cm⁻³
VASP energy	-3.80	eV/atom
space-group type	I4/mmm, No. 139

---

(4)
First-principles (PBE) data for crystalline MgMoH at its relaxed geometry, as listed in the Alexandria database.

```
MgMoH
1.0
3.216 0.000 0.000
0.000 3.467 0.000
0.000 0.000 6.911
Mg Mo H
2 2 2
Direct
0.000 0.000 0.740
0.500 0.500 0.463
0.500 0.500 0.011
0.000 0.000 0.224
0.000 0.500 0.862
0.000 0.500 0.158
```

D(E_F)	0.2692	states/eV per atom
calculated volume	12.84	Å³ per atom
mass density	5.23	g cm⁻³
space-group type	Pmm2, No. 25
energy above the lowest structure with this stoichiometry	0.05	eV/f.u.

---

(5)
First-principles (PBE) data for crystalline Li2Mg4Tl2Hg at its relaxed geometry, as listed in the Alexandria database.

```
Li2Mg4Tl2Hg
1.0
5.730 0.880 -0.802
0.165 7.354 -0.050
-3.872 -4.000 5.482
Tl Mg Li Hg
2 4 2 1
Direct
0.707 0.164 0.520
0.293 0.836 0.480
0.838 0.697 0.487
0.162 0.303 0.513
0.393 0.212 0.004
0.607 0.788 0.996
0.848 0.389 0.032
0.152 0.611 0.968
0.000 0.000 0.000
```

D(E_F)	0.3248	states/eV per atom
calculated volume	22.99	Å³ per atom
mass density	5.78	g cm⁻³
VASP energy	-1.78	eV/atom
space-group type	P-1, No. 2

---

(6)
First-principles (PBE) data for crystalline SmHo4Tm3 at its relaxed geometry, as listed in the Alexandria database.

```
SmHo4Tm3
1.0
-0.108 -4.763 -4.015
0.338 -4.648 5.505
-11.142 -0.189 0.525
Tm Ho Sm
6 8 2
Direct
0.481 0.375 0.250
0.981 0.625 0.250
0.648 0.625 0.000
0.148 0.375 0.500
0.481 0.375 0.750
0.981 0.625 0.750
0.981 0.125 0.252
0.481 0.875 0.248
0.146 0.875 0.000
0.149 0.875 0.500
0.981 0.125 0.748
0.649 0.125 0.000
0.481 0.875 0.752
0.646 0.125 0.500
0.648 0.625 0.500
0.148 0.375 0.000
```

D(E_F)	1.6105	states/eV per atom
calculated volume	31.33	Å³ per atom
mass density	8.72	g cm⁻³
space-group type	Pmn2_1, No. 31
energy above the lowest structure with this stoichiometry	0.00	eV/f.u.

---

Question: What is the mass density in the sixth record?
Answer: 8.72 g cm⁻³